[1]
LiHoTlHg: relaxed, GGA-PBE.

Cell lengths 5.0713, 5.0713, 5.0713 Å; angles 60.00, 60.00, 60.00 degrees
Sites, in units of the cell vectors:
Li 0.0000 0.0000 0.0000
Ho 0.5000 0.5000 0.5000
Tl 0.7500 0.7500 0.7500
Hg 0.2500 0.2500 0.2500

## Properties
uncorrected energy = -10.68 eV for the cell shown
M_tot = 0.0 μB per formula unit
symmetry = No. 216



[2]
HoLu2Hg: relaxed, GGA-PBE.

Cell lengths 5.5427, 6.6087, 6.6087 Å; angles 116.47, 90.00, 90.00 degrees
Sites, in units of the cell vectors:
Ho 0.2500 0.1204 0.8796
Ho 0.7500 0.8796 0.1204
Lu 0.2500 0.1979 0.3908
Lu 0.2500 0.6781 0.3565
Lu 0.7500 0.3565 0.6781
Lu 0.7500 0.3908 0.1979
Hg 0.2500 0.6237 0.8777
Hg 0.7500 0.8777 0.6237

## Properties
energy of formation from the pure elements = -0.13 eV per atom
uncorrected energy = -28.92 eV for the cell shown
M_tot = 0.0 μB per formula unit
symmetry = No. 40



[3]
HoLu2Hg: relaxed, GGA-PBE.

Cell lengths 5.3298, 6.7138, 6.7138 Å; angles 64.05, 90.00, 90.00 degrees
Sites, in units of the cell vectors:
Ho 0.0000 0.0000 0.0000
Ho 0.5000 0.3183 0.3183
Lu 0.0000 0.5037 0.5037
Lu 0.5000 0.3222 0.8235
Lu 0.5000 0.8192 0.8192
Lu 0.5000 0.8235 0.3222
Hg 0.0000 0.4951 0.9864
Hg 0.0000 0.9864 0.4951

## Properties
energy of formation from the pure elements = -0.10 eV per atom
uncorrected energy = -28.62 eV for the cell shown
M_tot = 0.0 μB per formula unit
symmetry = No. 38



[4]
Ho2Lu5Hg: relaxed, GGA-PBE.

Cell lengths 5.4361, 6.9250, 6.9250 Å; angles 60.18, 90.00, 90.00 degrees
Sites, in units of the cell vectors:
Ho 0.0000 0.0000 0.0000
Ho 0.5000 0.3426 0.3426
Lu 0.0000 0.0035 0.5071
Lu 0.0000 0.5062 0.5062
Lu 0.0000 0.5071 0.0035
Lu 0.5000 0.3426 0.8303
Lu 0.5000 0.8303 0.3426
Hg 0.5000 0.8335 0.8335

## Properties
energy of formation from the pure elements = -0.04 eV per atom
uncorrected energy = -32.35 eV for the cell shown
M_tot = 0.9 μB per formula unit
symmetry = No. 38



Number 1 is which compound?
LiHoTlHg